{
  "formula": "Ho5Tm3Sc",
  "functional": "GGA-PBE",
  "state": "optimized geometry",
  "lattice_angstrom": [[-4.4832, 4.4832, 6.9560], [4.4832, -4.4832, 6.9560], [4.4832, 4.4832, -6.9560]],
  "species": ["Ho", "Ho", "Ho", "Ho", "Ho", "Ho", "Ho", "Ho", "Ho", "Ho", "Tm", "Tm", "Tm", "Tm", "Tm", "Tm", "Sc", "Sc"],
  "fractional_positions": [[0.0000, 0.0000, 0.0000], [0.0665, 0.5665, 0.8972], [0.1693, 0.0665, 0.5000], [0.3307, 0.8307, 0.8972], [0.4335, 0.3307, 0.5000], [0.5000, 0.5000, 0.0000], [0.5665, 0.6693, 0.5000], [0.6693, 0.1693, 0.1028], [0.8307, 0.9335, 0.5000], [0.9335, 0.4335, 0.1028], [0.1118, 0.3882, 0.5000], [0.2500, 0.2500, 0.0000], [0.3882, 0.8882, 0.2764], [0.6118, 0.1118, 0.7236], [0.7500, 0.7500, 0.0000], [0.8882, 0.6118, 0.5000], [0.2500, 0.7500, 0.5000], [0.7500, 0.2500, 0.5000]],
  "de_polymorph_mev_per_atom": 144,
  "spacegroup": "I4/mcm (140)",
  "e_form_mev_per_atom": 322
}

{
  "formula": "HoTmSc3",
  "functional": "GGA-PBE",
  "state": "optimized geometry",
  "lattice_angstrom": [[5.9141, 0.0000, 0.0000], [-2.9563, 5.5907, 0.0000], [-0.0069, -2.9684, 8.1475]],
  "species": ["Ho", "Ho", "Tm", "Tm", "Sc", "Sc", "Sc", "Sc", "Sc", "Sc"],
  "fractional_positions": [[0.1389, 0.1061, 0.3495], [0.8611, 0.8939, 0.6505], [0.4669, 0.1061, 0.8503], [0.5331, 0.8939, 0.1497], [0.0681, 0.3038, 0.0494], [0.2639, 0.6963, 0.4494], [0.3274, 0.5008, 0.7505], [0.6726, 0.4992, 0.2495], [0.7361, 0.3037, 0.5506], [0.9319, 0.6962, 0.9506]],
  "spacegroup": "P-1 (2)",
  "e_form_mev_per_atom": 17
}

{
  "formula": "Ho4Tm3Sc4",
  "functional": "GGA-PBE",
  "state": "optimized geometry",
  "lattice_angstrom": [[17.1186, -2.6952, 0.0000], [17.1186, 2.6952, 0.0000], [-0.3352, 0.0000, 3.3756]],
  "species": ["Ho", "Ho", "Ho", "Ho", "Tm", "Tm", "Tm", "Sc", "Sc", "Sc", "Sc"],
  "fractional_positions": [[0.0905, 0.0905, 0.0899], [0.2678, 0.2678, 0.7674], [0.7322, 0.7322, 0.2326], [0.9095, 0.9095, 0.9101], [0.0000, 0.0000, 0.5000], [0.3636, 0.3636, 0.3645], [0.6364, 0.6364, 0.6355], [0.1805, 0.1805, 0.1794], [0.4554, 0.4554, 0.9563], [0.5446, 0.5446, 0.0437], [0.8195, 0.8195, 0.8206]],
  "de_polymorph_mev_per_atom": 22,
  "spacegroup": "C2/m (12)",
  "e_form_mev_per_atom": 70
}

{
  "formula": "Ho7Tm2Sc2",
  "functional": "GGA-PBE",
  "state": "optimized geometry",
  "lattice_angstrom": [[-1.7581, 8.3680, 5.6863], [1.7581, -8.3680, 5.6863], [1.7581, 8.3680, -5.6863]],
  "species": ["Ho", "Ho", "Ho", "Ho", "Ho", "Ho", "Ho", "Tm", "Tm", "Sc", "Sc"],
  "fractional_positions": [[0.0000, 0.0000, 0.0000], [0.1915, 0.5225, 0.6690], [0.3268, 0.9916, 0.3352], [0.5572, 0.7567, 0.8004], [0.6563, 0.9916, 0.6648], [0.8535, 0.5225, 0.3310], [0.9563, 0.7567, 0.1996], [0.4855, 0.4855, 0.0000], [0.7383, 0.2383, 0.5000], [0.1368, 0.2520, 0.8848], [0.3672, 0.2520, 0.1152]],
  "de_polymorph_mev_per_atom": 0,
  "spacegroup": "Imm2 (44)",
  "e_form_mev_per_atom": 143
}

{
  "formula": "Ho2Tm3Sc",
  "functional": "GGA-PBE",
  "state": "optimized geometry",
  "lattice_angstrom": [[8.4711, -3.4651, 0.0000], [8.4711, 3.4651, 0.0000], [-0.0031, 0.0000, 5.9981]],
  "species": ["Ho", "Ho", "Ho", "Ho", "Tm", "Tm", "Tm", "Tm", "Tm", "Tm", "Sc", "Sc"],
  "fractional_positions": [[0.0394, 0.2912, 0.4152], [0.2912, 0.0394, 0.9152], [0.7088, 0.9606, 0.0848], [0.9606, 0.7088, 0.5848], [0.1279, 0.8721, 0.2500], [0.2124, 0.4597, 0.0807], [0.4597, 0.2124, 0.5807], [0.5403, 0.7876, 0.4193], [0.7876, 0.5403, 0.9193], [0.8721, 0.1279, 0.7500], [0.3771, 0.6229, 0.7500], [0.6229, 0.3771, 0.2500]],
  "de_polymorph_mev_per_atom": 0,
  "spacegroup": "C2/c (15)",
  "e_form_mev_per_atom": 39
}

{
  "formula": "Ho3Tm6Sc",
  "functional": "GGA-PBE",
  "state": "optimized geometry",
  "lattice_angstrom": [[10.9888, 0.0000, 0.0000], [0.0000, 4.9166, 0.0000], [-0.0074, 0.0000, 10.9969]],
  "species": ["Ho", "Ho", "Ho", "Ho", "Ho", "Ho", "Tm", "Tm", "Tm", "Tm", "Tm", "Tm", "Tm", "Tm", "Tm", "Tm", "Tm", "Tm", "Sc", "Sc"],
  "fractional_positions": [[0.0500, 0.2500, 0.4004], [0.1506, 0.7500, 0.2013], [0.2512, 0.2500, 0.0009], [0.7488, 0.7500, 0.9991], [0.8494, 0.2500, 0.7987], [0.9500, 0.7500, 0.5996], [0.0512, 0.7500, 0.8993], [0.1543, 0.2500, 0.6984], [0.2562, 0.7500, 0.5008], [0.3518, 0.7500, 0.7980], [0.3542, 0.2500, 0.3046], [0.4511, 0.7500, 0.1028], [0.5489, 0.2500, 0.8972], [0.6458, 0.7500, 0.6954], [0.6482, 0.2500, 0.2020], [0.7438, 0.2500, 0.4992], [0.8457, 0.7500, 0.3016], [0.9488, 0.2500, 0.1007], [0.4513, 0.2500, 0.5978], [0.5487, 0.7500, 0.4022]],
  "de_polymorph_mev_per_atom": 0,
  "spacegroup": "P2_1/m (11)",
  "e_form_mev_per_atom": 34
}

{
  "formula": "Ho7Tm3Sc2",
  "functional": "GGA-PBE",
  "state": "optimized geometry",
  "lattice_angstrom": [[2.7896, -18.3442, 0.0000], [2.7896, 18.3442, 0.0000], [0.0000, 0.0000, 3.5169]],
  "species": ["Ho", "Ho", "Ho", "Ho", "Ho", "Ho", "Ho", "Tm", "Tm", "Tm", "Sc", "Sc"],
  "fractional_positions": [[0.0000, 0.0000, 0.0000], [0.0736, 0.9264, 0.5000], [0.2304, 0.7696, 0.0000], [0.4052, 0.5948, 0.0000], [0.5948, 0.4052, 0.0000], [0.7696, 0.2304, 0.0000], [0.9264, 0.0736, 0.5000], [0.3157, 0.6843, 0.5000], [0.5000, 0.5000, 0.5000], [0.6843, 0.3157, 0.5000], [0.1482, 0.8518, 0.0000], [0.8518, 0.1482, 0.0000]],
  "de_polymorph_mev_per_atom": 0,
  "spacegroup": "Cmmm (65)",
  "e_form_mev_per_atom": 126
}

{
  "formula": "Ho11Tm4Sc9",
  "functional": "GGA-PBE",
  "state": "optimized geometry",
  "lattice_angstrom": [[7.8302, -12.6518, 0.0000], [7.8302, 12.6518, 0.0000], [0.0000, 0.0000, 3.4673]],
  "species": ["Ho", "Ho", "Ho", "Ho", "Ho", "Ho", "Ho", "Ho", "Ho", "Ho", "Ho", "Tm", "Tm", "Tm", "Tm", "Sc", "Sc", "Sc", "Sc", "Sc", "Sc", "Sc", "Sc", "Sc"],
  "fractional_positions": [[0.0000, 0.0000, 0.0000], [0.0342, 0.4059, 0.0000], [0.1882, 0.8118, 0.0000], [0.2120, 0.2120, 0.0000], [0.3772, 0.6228, 0.0000], [0.4059, 0.0342, 0.0000], [0.5941, 0.9658, 0.0000], [0.6228, 0.3772, 0.0000], [0.7880, 0.7880, 0.0000], [0.8118, 0.1882, 0.0000], [0.9658, 0.5941, 0.0000], [0.2377, 0.4169, 0.5000], [0.4169, 0.2377, 0.5000], [0.5831, 0.7623, 0.5000], [0.7623, 0.5831, 0.5000], [0.0161, 0.2035, 0.5000], [0.1775, 0.6129, 0.5000], [0.2035, 0.0161, 0.5000], [0.3871, 0.8225, 0.5000], [0.5000, 0.5000, 0.5000], [0.6129, 0.1775, 0.5000], [0.7965, 0.9839, 0.5000], [0.8225, 0.3871, 0.5000], [0.9839, 0.7965, 0.5000]],
  "spacegroup": "Cmmm (65)",
  "e_form_mev_per_atom": 72
}